Entry 1:
The following is a DFT calculation (PBE) of AlSbH3 after structural relaxation.

Values from the calculation:
The value obtained for the relative energy among the computed polymorphs is 0 meV per atom. The density of states at the Fermi level comes out at 1.90 states/eV/cell. As for the space-group type: Pm-3m, No. 221. For the final energy, the calculation gives -3.056 eV per atom. As for the spin magnetization: 0.0 μB per formula unit.

POSCAR file:
```
AlSbH3
1.0
-3.6823 0.5745 -0.4896
-0.0174 -2.5019 -2.8052
-0.7546 -2.7458 2.4536
Al Sb H
1 1 3
Direct
0.0000 0.0000 0.0000 Al
0.5000 0.5000 0.5000 Sb
0.0000 0.5000 0.0000 H
0.5000 0.0000 0.0000 H
0.0000 0.0000 0.5000 H
```



Entry 2:
The following is a DFT calculation (PBE) of Al2SbH2 after structural relaxation.

Values from the calculation:
The density of states at the Fermi level comes out at 1.56 states/eV/cell. As for the space-group type: I4/mmm, No. 139. For the final energy, the calculation gives -3.427 eV per atom. As for the spin magnetization: 0.0 μB per formula unit.

POSCAR file:
```
Al2SbH2
1.0
-2.7569 -2.1164 -0.3189
0.6645 -0.3521 -3.4083
2.1961 -5.6213 -0.7782
Al H Sb
2 2 1
Direct
0.3408 0.3408 0.3185 Al
0.6592 0.6592 0.6815 Al
0.7500 0.2500 0.5000 H
0.2500 0.7500 0.5000 H
0.0000 0.0000 0.0000 Sb
```



Entry 3:
The following is a DFT calculation (PBE) of AlSb3H after structural relaxation.

Values from the calculation:
The value obtained for the relative energy among the computed polymorphs is 482 meV per atom. The density of states at the Fermi level comes out at 2.06 states/eV/cell. As for the space-group type: Pm-3m, No. 221. For the final energy, the calculation gives -2.941 eV per atom. As for the spin magnetization: 1.0 μB per formula unit.

POSCAR file:
```
AlSb3H
1.0
-3.7565 3.5571 -1.1908
-3.4884 -2.6930 2.9600
1.3793 2.8769 4.2430
H Al Sb
1 1 3
Direct
0.5000 0.5000 0.5000 H
0.0000 0.0000 0.0000 Al
0.5000 0.0000 0.0000 Sb
0.0000 0.0000 0.5000 Sb
0.0000 0.5000 0.0000 Sb
```



Entry 4:
The following is a DFT calculation (PBE) of AlSb3H after structural relaxation.

Values from the calculation:
The value obtained for the relative energy among the computed polymorphs is 0 meV per atom. The density of states at the Fermi level comes out at 3.09 states/eV/cell. As for the space-group type: Pm-3m, No. 221. For the final energy, the calculation gives -3.423 eV per atom. As for the spin magnetization: 0.0 μB per formula unit.

POSCAR file:
```
AlSb3H
1.0
4.7291 0.0000 0.0000
0.0000 4.7291 0.0000
0.0000 0.0000 4.7291
Sb Al H
3 1 1
Direct
0.0000 0.0000 0.5000 Sb
0.5000 0.0000 0.0000 Sb
0.0000 0.5000 0.0000 Sb
0.5000 0.5000 0.5000 Al
0.0000 0.0000 0.0000 H
```



Entry 5:
The following is a DFT calculation (PBE) of AlSnSb2H after structural relaxation.

Values from the calculation:
The density of states at the Fermi level comes out at 1.99 states/eV/cell. As for the space-group type: P4/mmm, No. 123. For the final energy, the calculation gives -3.787 eV per atom. As for the spin magnetization: 0.0 μB per formula unit.

POSCAR file:
```
AlSnSb2H
1.0
5.7293 0.0000 0.0000
0.0000 5.7293 0.0000
0.0000 0.0000 3.3485
Sb H Sn Al
2 1 1 1
Direct
0.5000 0.0000 0.0000 Sb
0.0000 0.5000 0.0000 Sb
0.0000 0.0000 0.5000 H
0.5000 0.5000 0.5000 Sn
0.0000 0.0000 0.0000 Al
```



Entry 6:
The following is a DFT calculation (PBE) of Sr2AlSb2H2 after structural relaxation.

Values from the calculation:
The density of states at the Fermi level comes out at 3.34 states/eV/cell. As for the space-group type: I4/mmm, No. 139. For the final energy, the calculation gives -3.490 eV per atom. As for the spin magnetization: 0.0 μB per formula unit.

POSCAR file:
```
Sr2AlSb2H2
1.0
-2.9148 1.2056 3.1901
-1.7390 -4.1354 -0.0260
7.5694 -0.7751 4.0546
Sr H Al Sb
2 2 1 2
Direct
0.6196 0.6196 0.2393 Sr
0.3804 0.3804 0.7607 Sr
0.5000 0.0000 0.0000 H
0.0000 0.5000 0.0000 H
0.0000 0.0000 0.0000 Al
0.8307 0.8307 0.6614 Sb
0.1693 0.1693 0.3386 Sb
```



Entry 7:
The following is a DFT calculation (PBE) of Ti7AlSb2H2 after structural relaxation.

Values from the calculation:
The density of states at the Fermi level comes out at 9.61 states/eV/cell. As for the space-group type: C2/m, No. 12. For the final energy, the calculation gives -6.633 eV per atom. As for the spin magnetization: 0.0 μB per formula unit.

POSCAR file:
```
Ti7AlSb2H2
1.0
3.9748 -0.0015 0.0329
0.0033 3.9748 0.0329
2.0213 2.0189 11.5984
Ti H Sb Al
7 2 2 1
Direct
0.2832 0.2832 0.4025 Ti
0.0944 0.5954 0.8209 Ti
0.5000 0.5000 0.0000 Ti
0.9056 0.4046 0.1791 Ti
0.4047 0.9056 0.1791 Ti
0.7168 0.7168 0.5975 Ti
0.5953 0.0944 0.8209 Ti
0.5886 0.5886 0.8319 H
0.4114 0.4114 0.1681 H
0.8089 0.8089 0.3590 Sb
0.1911 0.1911 0.6410 Sb
0.0000 0.0000 0.0000 Al
```



Entry 8:
The following is a DFT calculation (PBE) of AlTlSb2H after structural relaxation.

Values from the calculation:
The density of states at the Fermi level comes out at 3.07 states/eV/cell. As for the space-group type: P4/mmm, No. 123. For the final energy, the calculation gives -3.428 eV per atom. As for the spin magnetization: 0.0 μB per formula unit.

POSCAR file:
```
AlTlSb2H
1.0
5.7483 0.0000 0.0000
0.0000 5.7483 0.0000
0.0000 0.0000 3.4024
Al Sb H Tl
1 2 1 1
Direct
0.0000 0.0000 0.0000 Al
0.0000 0.5000 0.0000 Sb
0.5000 0.0000 0.0000 Sb
0.0000 0.0000 0.5000 H
0.5000 0.5000 0.5000 Tl
```



Entry 9:
The following is a DFT calculation (PBE) of Al2VSbH after structural relaxation.

Values from the calculation:
The density of states at the Fermi level comes out at 9.10 states/eV/cell. As for the space-group type: P4/mmm, No. 123. For the final energy, the calculation gives -3.160 eV per atom. As for the spin magnetization: 0.1 μB per formula unit.

POSCAR file:
```
Al2VSbH
1.0
5.4162 0.0000 0.0000
0.0000 5.0605 0.0000
0.0000 0.0000 5.4162
Al Sb V H
2 1 1 1
Direct
0.5000 0.0000 0.0000 Al
0.0000 0.0000 0.5000 Al
0.0000 0.0000 0.0000 Sb
0.0000 0.5000 0.0000 V
0.5000 0.5000 0.5000 H
```



Entry 10:
The following is a DFT calculation (PBE) of YAl2SbH after structural relaxation.

Values from the calculation:
The density of states at the Fermi level comes out at 2.04 states/eV/cell. As for the space-group type: P4/mmm, No. 123. For the final energy, the calculation gives -3.963 eV per atom. As for the spin magnetization: 0.0 μB per formula unit.

POSCAR file:
```
YAl2SbH
1.0
5.6075 0.0000 0.0000
0.0000 5.6075 0.0000
0.0000 0.0000 3.5919
Sb Al Y H
1 2 1 1
Direct
0.0000 0.0000 0.0000 Sb
0.0000 0.5000 0.0000 Al
0.5000 0.0000 0.0000 Al
0.5000 0.5000 0.5000 Y
0.0000 0.0000 0.5000 H
```



Entry 11:
The following is a DFT calculation (PBE) of ScAl2H8 after structural relaxation.

Values from the calculation:
The density of states at the Fermi level comes out at 1.89 states/eV/cell. As for the space-group type: P-3, No. 147. For the final energy, the calculation gives -3.708 eV per atom. As for the spin magnetization: 0.7 μB per formula unit.

POSCAR file:
```
ScAl2H8
1.0
3.5135 -0.0001 -0.0003
-0.0005 5.0699 -2.9262
-0.0002 -0.0007 5.8547
Al H Sc
2 8 1
Direct
0.7885 0.6666 0.3333 Al
0.2115 0.3334 0.6667 Al
0.2716 0.6666 0.3333 H
0.7272 0.3465 0.1753 H
0.7284 0.3334 0.6667 H
0.2728 0.1754 0.8288 H
0.2728 0.6535 0.8246 H
0.2727 0.1712 0.3466 H
0.7272 0.8246 0.1711 H
0.7273 0.8288 0.6534 H
0.0000 0.0000 0.0000 Sc
```



Entry 12:
The following is a DFT calculation (PBE) of Sc4Al2H after structural relaxation.

Values from the calculation:
The density of states at the Fermi level comes out at 5.90 states/eV/cell. As for the space-group type: I4/mmm, No. 139. For the final energy, the calculation gives -5.467 eV per atom. As for the spin magnetization: 0.0 μB per formula unit.

POSCAR file:
```
Sc4Al2H
1.0
4.1935 0.0000 0.0000
0.0000 4.1935 0.0000
2.0968 2.0968 7.6880
Al Sc H
2 4 1
Direct
0.3656 0.3656 0.2689 Al
0.6344 0.6344 0.7311 Al
0.8252 0.8252 0.3497 Sc
0.5000 0.0000 0.0000 Sc
0.0000 0.5000 0.0000 Sc
0.1748 0.1748 0.6503 Sc
0.0000 0.0000 0.0000 H
```



Q: The lowest final energy belongs to which entry?
A: Ti7AlSb2H2